An optimized crystal structure of Rb2Si2Se5, computed with PBE.

For the total energy, the calculation gives -151.295 eV/cell.

Unit cell a=11.689 b=11.689 c=9.438 alpha=83.56 beta=83.56 gamma=90.07
Fractional positions:
1 Rb 0.285 0.031 0.622
2 Rb 0.715 0.969 0.378
3 Rb 0.969 0.715 0.878
4 Rb 0.031 0.285 0.122
5 Rb 0.545 0.715 0.898
6 Rb 0.455 0.285 0.102
7 Rb 0.285 0.455 0.602
8 Rb 0.715 0.545 0.398
9 Si 0.629 0.236 0.608
10 Si 0.371 0.764 0.392
11 Si 0.764 0.371 0.892
12 Si 0.236 0.629 0.108
13 Si 0.764 0.048 0.888
14 Si 0.236 0.952 0.112
15 Si 0.952 0.236 0.612
16 Si 0.048 0.764 0.388
17 Se 0.748 0.195 0.037
18 Se 0.252 0.805 0.963
19 Se 0.805 0.252 0.463
20 Se 0.195 0.748 0.537
21 Se 0.612 0.059 0.748
22 Se 0.388 0.941 0.252
23 Se 0.941 0.388 0.752
24 Se 0.059 0.612 0.248
25 Se 0.612 0.388 0.750
26 Se 0.388 0.612 0.250
27 Se 0.511 0.747 0.531
28 Se 0.489 0.253 0.469
29 Se 0.253 0.489 0.969
30 Se 0.747 0.511 0.031
31 Se 0.748 0.882 0.027
32 Se 0.252 0.118 0.973
33 Se 0.118 0.252 0.473
34 Se 0.882 0.748 0.527
35 Se 0.941 0.059 0.750
36 Se 0.059 0.941 0.250

An optimized crystal structure of Na4MgTl2, computed with PBE.

For the total energy, the calculation gives -10.181 eV/cell. Its energy relative to the elements is 0.20 eV/atom.

Unit cell a=5.781 b=5.781 c=9.017 alpha=71.30 beta=71.30 gamma=90.00
Fractional positions:
1 Na 0.801 0.801 0.398
2 Na 0.199 0.199 0.602
3 Na 0.000 0.500 0.000
4 Na 0.500 0.000 0.000
5 Tl 0.604 0.604 0.793
6 Tl 0.396 0.396 0.207
7 Mg 0.000 0.000 0.000

An optimized crystal structure of CdPb2I2, computed with PBE.

For the total energy, the calculation gives -24.341 eV/cell.

Unit cell a=8.214 b=8.214 c=5.314 alpha=90.00 beta=90.00 gamma=90.00
Fractional positions:
1 Pb 0.343 0.843 0.000
2 Pb 0.843 0.657 0.000
3 Pb 0.657 0.157 0.000
4 Pb 0.157 0.343 0.000
5 I 0.181 0.681 0.500
6 I 0.681 0.819 0.500
7 I 0.819 0.319 0.500
8 I 0.319 0.181 0.500
9 Cd 0.000 0.000 0.000
10 Cd 0.500 0.500 0.000

What is the formula in the third record?
CdPb2I2